Record 1
Compound: Tl9Te6Pb
Source: the Alexandria database
Functional: GGA-PBE
Structure: relaxed

Cell and atoms, written as POSCAR:
```
Tl9Te6Pb
1.0
-5.804 6.465 -2.245
-2.958 -5.024 -6.822
-0.217 -3.456 8.542
Te Tl Pb
6 9 1
direct
0.846 0.335 0.000
0.154 0.665 0.000
0.245 0.245 0.490
0.755 0.755 0.510
0.335 0.154 0.000
0.665 0.846 0.000
0.802 0.307 0.312
0.693 0.489 0.688
0.307 0.511 0.312
0.511 0.006 0.312
0.500 0.500 0.000
0.006 0.802 0.312
0.994 0.198 0.688
0.489 0.994 0.688
0.198 0.693 0.688
0.000 0.000 0.000
```

Properties
Energy relative to the elements, uncorrected   -0.304 eV/atom
Space group   I4/m, No. 87

Record 2
Compound: TlTe3Pb
Source: the Alexandria database
Functional: GGA-PBE
Structure: relaxed

Cell and atoms, written as POSCAR:
```
TlTe3Pb
1.0
5.915 0.000 0.000
0.000 5.915 0.000
0.000 0.000 5.915
Te Pb Tl
3 1 1
direct
0.500 0.000 0.000
0.000 0.500 0.000
0.000 0.000 0.500
0.000 0.000 0.000
0.500 0.500 0.500
```

Properties
Energy relative to the elements, uncorrected   0.250 eV/atom
Space group   Pm-3m, No. 221

Record 3
Compound: Tl9Te2Pb
Source: the Alexandria database
Functional: GGA-PBE
Structure: relaxed

Cell and atoms, written as POSCAR:
```
Tl9Te2Pb
1.0
5.002 0.000 0.000
0.000 5.002 0.000
0.000 0.000 15.321
Tl Te Pb
9 2 1
direct
0.000 0.500 0.500
0.000 0.500 0.162
0.500 0.500 0.672
0.500 0.000 0.162
0.500 0.500 0.328
0.500 0.000 0.500
0.500 0.500 0.000
0.000 0.500 0.838
0.500 0.000 0.838
0.000 0.000 0.334
0.000 0.000 0.666
0.000 0.000 0.000
```

Properties
Energy relative to the elements, uncorrected   -0.117 eV/atom
Space group   P4/mmm, No. 123

Record 4
Compound: TlTePb
Source: the Alexandria database
Functional: GGA-PBE
Structure: relaxed

Cell and atoms, written as POSCAR:
```
TlTePb
1.0
-0.365 5.466 -0.408
-4.915 2.447 0.196
-1.405 2.994 4.387
Te Tl Pb
1 1 1
direct
0.750 0.750 0.750
0.000 0.000 0.000
0.500 0.500 0.500
```

Properties
Energy relative to the elements, uncorrected   -0.027 eV/atom
Space group   F-43m, No. 216

Record 5
Compound: Tl2TePb2
Source: the Alexandria database
Functional: GGA-PBE
Structure: relaxed

Cell and atoms, written as POSCAR:
```
Tl2TePb2
1.0
4.397 0.000 0.000
0.000 4.397 0.000
2.199 2.199 8.633
Pb Tl Te
2 2 1
direct
0.409 0.409 0.181
0.591 0.591 0.819
0.250 0.750 0.500
0.750 0.250 0.500
0.000 0.000 0.000
```

Properties
Energy relative to the elements, uncorrected   0.047 eV/atom
Space group   I4/mmm, No. 139

Record 6
Compound: TlTePb3
Source: the Alexandria database
Functional: GGA-PBE
Structure: relaxed

Cell and atoms, written as POSCAR:
```
TlTePb3
1.0
-0.578 -1.895 5.708
5.585 -2.297 -0.197
2.232 5.258 1.971
Pb Te Tl
3 1 1
direct
0.000 0.000 0.500
0.500 0.000 0.000
0.000 0.500 0.000
0.000 0.000 0.000
0.500 0.500 0.500
```

Properties
Energy relative to the elements, uncorrected   0.384 eV/atom
Space group   Pm-3m, No. 221

Record 7
Compound: Tl4TePb
Source: the Alexandria database
Functional: GGA-PBE
Structure: relaxed

Cell and atoms, written as POSCAR:
```
Tl4TePb
1.0
-1.711 -1.161 6.171
1.384 4.355 4.635
-4.781 3.451 2.756
Tl Te Pb
4 1 1
direct
0.375 0.375 0.875
0.375 0.375 0.375
0.375 0.875 0.375
0.875 0.375 0.375
0.000 0.000 0.000
0.750 0.750 0.750
```

Properties
Energy relative to the elements, uncorrected   0.066 eV/atom
Space group   F-43m, No. 216

Record 8
Compound: Tl2Te4Pb3
Source: the Alexandria database
Functional: GGA-PBE
Structure: relaxed

Cell and atoms, written as POSCAR:
```
Tl2Te4Pb3
1.0
4.538 0.000 1.116
1.873 7.497 2.168
-0.161 1.135 10.438
Pb Te Tl
3 4 2
direct
0.767 0.645 0.821
0.233 0.355 0.179
0.000 0.000 0.000
0.821 0.056 0.302
0.395 0.317 0.892
0.179 0.944 0.698
0.605 0.683 0.108
0.598 0.238 0.565
0.402 0.762 0.435
```

Properties
Energy relative to the elements, uncorrected   -0.340 eV/atom
Space group   C2/m, No. 12

Record 9
Compound: Tl2Te2Pb
Source: the Alexandria database
Functional: GGA-PBE
Structure: relaxed

Cell and atoms, written as POSCAR:
```
Tl2Te2Pb
1.0
4.329 0.000 0.000
0.000 4.329 0.000
2.165 2.165 9.225
Te Pb Tl
2 1 2
direct
0.250 0.750 0.500
0.750 0.250 0.500
0.000 0.000 0.000
0.403 0.403 0.194
0.597 0.597 0.806
```

Properties
Energy relative to the elements, uncorrected   0.083 eV/atom
Space group   I4/mmm, No. 139

Record 10
Compound: Tl2TePb2
Source: the Alexandria database
Functional: GGA-PBE
Structure: relaxed

Cell and atoms, written as POSCAR:
```
Tl2TePb2
1.0
8.767 0.000 0.000
0.000 8.767 0.000
0.000 0.000 4.219
Pb Te Tl
4 2 4
direct
0.316 0.184 0.500
0.684 0.816 0.500
0.816 0.316 0.500
0.184 0.684 0.500
0.000 0.000 0.000
0.500 0.500 0.000
0.626 0.126 0.000
0.374 0.874 0.000
0.126 0.374 0.000
0.874 0.626 0.000
```

Properties
Energy relative to the elements, uncorrected   0.094 eV/atom
Space group   P4/mbm, No. 127

Record 11
Compound: Tl2Te2Pb
Source: the Alexandria database
Functional: GGA-PBE
Structure: relaxed

Cell and atoms, written as POSCAR:
```
Tl2Te2Pb
1.0
8.098 0.000 0.102
0.000 9.249 0.000
-0.859 0.000 10.443
Tl Pb Te
8 4 8
direct
0.502 0.783 0.323
0.002 0.717 0.323
0.026 0.262 0.073
0.998 0.283 0.677
0.526 0.238 0.073
0.974 0.738 0.927
0.498 0.217 0.677
0.474 0.762 0.927
0.862 0.120 0.351
0.138 0.880 0.649
0.638 0.620 0.649
0.362 0.380 0.351
0.235 0.049 0.412
0.752 0.921 0.113
0.765 0.951 0.588
0.748 0.421 0.887
0.252 0.579 0.113
0.735 0.451 0.412
0.265 0.549 0.588
0.248 0.079 0.887
```

Properties
Energy relative to the elements, uncorrected   -0.277 eV/atom
Space group   P2_1/c, No. 14

Record 12
Compound: Tl12Te7Pb
Source: the Alexandria database
Functional: GGA-PBE
Structure: relaxed

Cell and atoms, written as POSCAR:
```
Tl12Te7Pb
1.0
-10.043 3.758 5.613
-1.414 -3.366 -8.976
4.667 -7.214 4.481
Tl Te Pb
12 7 1
direct
0.090 0.261 0.761
0.362 0.201 0.875
0.171 0.500 0.261
0.161 0.673 0.799
0.488 0.125 0.327
0.638 0.799 0.125
0.512 0.875 0.673
0.910 0.739 0.239
0.671 0.761 0.500
0.829 0.500 0.739
0.329 0.239 0.500
0.839 0.327 0.201
0.500 0.000 0.000
0.852 0.202 0.855
0.148 0.798 0.145
0.350 0.346 0.202
0.650 0.654 0.798
0.996 0.145 0.346
0.004 0.855 0.654
0.000 0.000 0.000
```

Properties
Energy relative to the elements, uncorrected   -0.255 eV/atom
Space group   R-3, No. 148

Record 13
Compound: Tl5Te4Pb
Source: the Alexandria database
Functional: GGA-PBE
Structure: relaxed

Cell and atoms, written as POSCAR:
```
Tl5Te4Pb
1.0
-3.804 2.648 0.152
-2.048 -2.523 -7.301
-1.740 -7.086 9.167
Te Tl Pb
4 5 1
direct
0.063 0.325 0.125
0.634 0.959 0.268
0.366 0.041 0.732
0.937 0.675 0.875
0.500 0.500 0.000
0.185 0.772 0.369
0.194 0.293 0.388
0.806 0.707 0.612
0.815 0.228 0.631
0.500 0.000 0.000
```

Properties
Energy relative to the elements, uncorrected   -0.270 eV/atom
Space group   C2/m, No. 12

Record 14
Compound: Tl2Te2Pb
Source: the Alexandria database
Functional: GGA-PBE
Structure: relaxed

Cell and atoms, written as POSCAR:
```
Tl2Te2Pb
1.0
-2.386 -3.164 2.028
2.298 0.673 3.753
-5.780 4.653 5.345
Tl Pb Te
2 1 2
direct
0.250 0.750 0.500
0.750 0.250 0.500
0.000 0.000 0.000
0.595 0.595 0.810
0.405 0.405 0.190
```

Properties
Energy relative to the elements, uncorrected   -0.101 eV/atom
Space group   I4/mmm, No. 139

Record 15
Compound: U2Tl3Te6Pb
Source: the Alexandria database
Functional: GGA-PBE
Structure: relaxed

Cell and atoms, written as POSCAR:
```
U2Tl3Te6Pb
1.0
7.858 0.007 0.005
-3.921 6.809 0.005
-1.307 -2.264 8.124
Te Tl U Pb
6 3 2 1
direct
0.279 0.279 0.786
0.576 0.926 0.781
0.074 0.424 0.219
0.926 0.576 0.781
0.424 0.074 0.219
0.721 0.721 0.214
0.161 0.839 0.500
0.839 0.161 0.500
0.500 0.500 0.500
0.668 0.332 0.000
0.332 0.668 0.000
0.000 0.000 0.000
```

Properties
Energy relative to the elements, uncorrected   -0.510 eV/atom
Space group   C2/m, No. 12

Record 16
Compound: U3Tl4Te8Pb
Source: the Alexandria database
Functional: GGA-PBE
Structure: relaxed

Cell and atoms, written as POSCAR:
```
U3Tl4Te8Pb
1.0
-7.934 -3.734 2.205
3.984 -8.820 -0.602
3.871 5.997 5.545
U Te Tl Pb
3 8 4 1
direct
0.500 0.500 0.000
0.500 0.500 0.500
0.000 0.500 0.500
0.754 0.282 0.508
0.754 0.282 0.028
0.738 0.715 0.477
0.274 0.282 0.028
0.246 0.718 0.492
0.246 0.718 0.972
0.262 0.285 0.523
0.726 0.718 0.972
0.500 0.000 0.000
0.000 0.000 0.500
0.500 0.000 0.500
0.000 0.000 0.000
0.000 0.500 0.000
```

Properties
Energy relative to the elements, uncorrected   -0.507 eV/atom
Space group   R-3m, No. 166

Record 17
Compound: Y2Tl3Te6Pb
Source: the Alexandria database
Functional: GGA-PBE
Structure: relaxed

Cell and atoms, written as POSCAR:
```
Y2Tl3Te6Pb
1.0
7.878 -0.006 0.000
-3.942 6.820 0.000
-1.312 -2.272 7.872
Pb Tl Te Y
1 3 6 2
direct
0.000 0.000 0.000
0.839 0.161 0.500
0.161 0.839 0.500
0.500 0.500 0.500
0.722 0.722 0.217
0.278 0.278 0.783
0.424 0.075 0.224
0.075 0.424 0.224
0.576 0.925 0.776
0.925 0.576 0.776
0.331 0.669 0.000
0.669 0.331 0.000
```

Properties
Energy relative to the elements, uncorrected   -0.799 eV/atom
Space group   C2/m, No. 12

Record 18
Compound: YTl2TePb
Source: the Alexandria database
Functional: GGA-PBE
Structure: relaxed

Cell and atoms, written as POSCAR:
```
YTl2TePb
1.0
-2.520 -0.714 -5.231
-5.182 -1.491 2.700
-1.613 5.623 0.009
Tl Te Pb Y
2 1 1 1
direct
0.500 0.000 0.000
0.000 0.000 0.500
0.000 0.000 0.000
0.000 0.500 0.000
0.500 0.500 0.500
```

Properties
Energy relative to the elements, uncorrected   0.495 eV/atom
Space group   P4/mmm, No. 123

Record 19
Compound: Y6TlTe3Pb2
Source: the Alexandria database
Functional: GGA-PBE
Structure: relaxed

Cell and atoms, written as POSCAR:
```
Y6TlTe3Pb2
1.0
4.400 0.000 0.000
0.000 8.877 0.059
-2.200 -2.827 9.307
Y Te Tl Pb
6 3 1 2
direct
0.001 0.752 0.003
0.666 0.082 0.331
0.999 0.248 0.997
0.331 0.426 0.662
0.334 0.918 0.669
0.669 0.574 0.338
0.832 0.171 0.664
0.168 0.829 0.336
0.500 0.500 0.000
0.500 0.000 0.000
0.164 0.326 0.329
0.836 0.674 0.671
```

Properties
Energy relative to the elements, uncorrected   -0.912 eV/atom
Space group   C2/m, No. 12

Record 20
Compound: Tm5Te5Pb
Source: the Alexandria database
Functional: GGA-PBE
Structure: relaxed

Cell and atoms, written as POSCAR:
```
Tm5Te5Pb
1.0
6.119 0.000 0.000
-3.060 6.826 -0.067
0.000 -2.631 8.204
Tm Te Pb
5 5 1
direct
0.163 0.326 0.332
0.163 0.327 0.831
0.837 0.673 0.169
0.837 0.674 0.668
0.500 0.000 0.000
0.334 0.667 0.663
0.000 0.000 0.500
0.666 0.333 0.830
0.666 0.333 0.337
0.334 0.667 0.170
0.000 0.000 0.000
```

Properties
Energy relative to the elements, uncorrected   -1.182 eV/atom
Space group   C2/m, No. 12

Record 21
Compound: Tm3TePb2
Source: the Alexandria database
Functional: GGA-PBE
Structure: relaxed

Cell and atoms, written as POSCAR:
```
Tm3TePb2
1.0
6.190 0.000 0.000
0.000 5.855 -1.984
0.000 0.057 9.798
Tm Pb Te
6 4 2
direct
0.500 0.667 0.334
0.500 0.000 0.000
0.000 0.500 0.000
0.500 0.333 0.666
0.000 0.835 0.669
0.000 0.165 0.331
0.500 0.500 0.000
0.500 0.833 0.665
0.500 0.167 0.335
0.000 0.000 0.000
0.000 0.668 0.336
0.000 0.332 0.664
```

Properties
Energy relative to the elements, uncorrected   -0.677 eV/atom
Space group   Cmmm, No. 65

Record 22
Compound: Tm3TePb
Source: the Alexandria database
Functional: GGA-PBE
Structure: relaxed

Cell and atoms, written as POSCAR:
```
Tm3TePb
1.0
7.499 -0.444 -0.348
0.389 9.058 -0.187
0.389 1.981 8.841
Tm Pb Te
12 4 4
direct
0.080 0.679 0.135
0.420 0.865 0.321
0.906 0.337 0.462
0.580 0.135 0.679
0.406 0.462 0.337
0.446 0.292 0.005
0.054 0.995 0.708
0.946 0.005 0.292
0.594 0.538 0.663
0.094 0.663 0.538
0.554 0.708 0.995
0.920 0.321 0.865
0.250 0.992 0.008
0.750 0.008 0.992
0.750 0.663 0.337
0.250 0.337 0.663
0.598 0.170 0.332
0.402 0.830 0.668
0.098 0.332 0.170
0.902 0.668 0.830
```

Properties
Energy relative to the elements, uncorrected   -0.600 eV/atom
Space group   C2/c, No. 15

no.,total moment (μB per cell)
1,0.0
2,0.0
3,0.0
4,0.0
5,0.0
6,0.0
7,0.0
8,0.0
9,0.0
10,0.0
11,0.0
12,0.0
13,0.0
14,0.0
15,5.0
16,8.0
17,0.0
18,0.0
19,0.0
20,0.0
21,0.0
22,0.0